[1]
The following is a DFT calculation (GGA-PBE) of a relaxed SbIr3N crystal.

Computed properties:
Space group = Pm-3m
Magnetization = 0.0 μB/cell
Formation energy (no corrections) = 72.8 kJ/mol of atoms
V = 75 Å³/f.u.
Distance to the lowest polymorph of the same formula = 0 meV per atom

Lattice parameters (Å, degrees): 4.2164 4.2164 4.2164 90.00 90.00 90.00
With the nearest neighbours (Å) after each atom.
Fractional coordinates of all 5 atoms:
Sb (0.0000, 0.0000, 0.0000)  12 Ir 2.98
Ir (0.0000, 0.5000, 0.5000)  2 N 2.11
Ir (0.5000, 0.0000, 0.5000)  2 N 2.11
Ir (0.5000, 0.5000, 0.0000)  2 N 2.11
N (0.5000, 0.5000, 0.5000)  6 Ir 2.11

***

[2]
The following is a DFT calculation (GGA-PBE) of a relaxed SbIrN2 crystal.

Computed properties:
Space group = R-3m
Magnetization = 0.0 μB/cell
Formation energy (no corrections) = 62.4 kJ/mol of atoms
V = 56 Å³/f.u.

Lattice parameters (Å, degrees): 6.6011 6.6011 6.6011 28.13 28.13 28.13
With the nearest neighbours (Å) after each atom.
Fractional coordinates of all 4 atoms:
Sb (0.0000, 0.0000, 0.0000)  2 N 2.23
Ir (0.5000, 0.5000, 0.5000)  6 N 2.08
N (0.1172, 0.1172, 0.1172)  3 Ir 2.08, 1 Sb 2.23
N (0.8828, 0.8828, 0.8828)  3 Ir 2.08, 1 Sb 2.23

***

[3]
The following is a DFT calculation (GGA-PBE) of a relaxed SiSbIr2N crystal.

Computed properties:
Space group = P4/mmm
Magnetization = 2.8 μB/cell
Formation energy (no corrections) = 254.4 kJ/mol of atoms
V = 128 Å³/f.u.

Lattice parameters (Å, degrees): 4.8994 4.8994 5.3134 90.00 90.00 90.00
With the nearest neighbours (Å) after each atom.
Fractional coordinates of all 5 atoms:
Si (0.0000, 0.0000, 0.0000)  2 Sb 2.66
Sb (0.0000, 0.0000, 0.5000)  4 Ir 2.45, 2 Si 2.66
Ir (0.0000, 0.5000, 0.5000)  2 Sb 2.45
Ir (0.5000, 0.0000, 0.5000)  2 Sb 2.45
N (0.5000, 0.5000, 0.0000)  4 Si 3.46, 8 Ir 3.61